Entry from Alexandria: a relaxed ZnIn2Ag crystal (GGA-PBE).

The value obtained for the raw total energy is -9.31 eV for the cell shown.

It has space group Pmm2 (No. 25), with a = 3.134 Å, b = 4.267 Å, c = 6.353 Å, α = 90.00°, β = 90.00° and γ = 90.00°. Symmetry generates all atoms from Zn at (0.000, 0.000, 0.000), In at (0.000, 0.000, 0.459), In at (0.500, 0.500, 0.756) and Ag at (0.500, 0.500, 0.213).